DFT (PBE-GGA) results for a geometry-optimized Cd7HgPd4 structure.

Unit cell a=12.9327 b=5.0644 c=9.9100 alpha=90.00 beta=127.73 gamma=90.00
With the nearest neighbours (Å) after each atom.
Space group C2/m (No. 12)
One atom of each set of equivalent atoms:
Cd (0.0000, 0.0000, 0.0000) (multiplicity 2)  2 Hg 2.53, 4 Pd 2.76-2.83
Cd (0.0670, 0.5000, 0.3419) (multiplicity 4)  5 Pd 2.70-3.02, 1 Cd 2.91, 1 Hg 2.94
Cd (0.1606, 0.0000, 0.5954) (multiplicity 4)  4 Pd 2.71-2.97
Cd (0.2165, 0.5000, 0.8615) (multiplicity 4)  4 Pd 2.86-2.96, 2 Cd 2.91-3.03
Hg (0.0000, 0.5000, 0.0000) (multiplicity 2)  2 Cd 2.53
Pd (0.0712, 0.0000, 0.7811) (multiplicity 4)  7 Cd 2.71-2.96, 1 Pd 2.87
Pd (0.1969, 0.0000, 0.3471) (multiplicity 4)  8 Cd 2.70-3.02, 1 Pd 2.87

Properties
energy = -2.41 eV per atom
Fermi-level density of states = 11.38 states/eV per cell
energy of formation = -121 meV/atom